# 1
CuSn4Pd: relaxed, PBE.

- Symmetry: No. 140
- ΔE to the lowest computed polymorph: 0.00 eV/f.u.
- Density of states at the Fermi level: 0.221 states/eV per atom

a = 6.6727 Å, b = 6.6727 Å, c = 7.5799 Å
α = 116.11°, β = 116.11°, γ = 90.00°
Closest atoms and distances in Å follow each position.
Sites, in units of the cell vectors:
Cu: 0.5000 0.5000 0.0000  8 Sn 2.93, 2 Pd 2.97
Cu: 0.0000 0.0000 0.0000  8 Sn 2.93, 2 Pd 2.97
Sn: 0.4665 0.9665 0.2595  2 Pd 2.88, 2 Cu 2.93, 2 Sn 3.08
Sn: 0.9665 0.7930 0.2595  2 Pd 2.88, 2 Cu 2.93, 2 Sn 3.08
Sn: 0.2930 0.4665 0.2595  2 Pd 2.88, 2 Cu 2.93, 2 Sn 3.08
Sn: 0.7070 0.5335 0.7405  2 Pd 2.88, 2 Cu 2.93, 2 Sn 3.08
Sn: 0.0335 0.2070 0.7405  2 Pd 2.88, 2 Cu 2.93, 2 Sn 3.08
Sn: 0.5335 0.0335 0.7405  2 Pd 2.88, 2 Cu 2.93, 2 Sn 3.08
Sn: 0.2070 0.7070 0.7405  2 Pd 2.88, 2 Cu 2.93, 2 Sn 3.08
Sn: 0.7930 0.2930 0.2595  2 Pd 2.88, 2 Cu 2.93, 2 Sn 3.08
Pd: 0.2500 0.2500 0.5000  8 Sn 2.88, 2 Cu 2.97
Pd: 0.7500 0.7500 0.5000  8 Sn 2.88, 2 Cu 2.97


# 2
Cu3SnPd6: relaxed, PBE.

- Symmetry: No. 11
- ΔE to the lowest computed polymorph: 1.08 eV/f.u.
- Density of states at the Fermi level: 0.490 states/eV per atom

a = 3.9463 Å, b = 8.1765 Å, c = 10.3702 Å
α = 109.71°, β = 90.00°, γ = 90.00°
Closest atoms and distances in Å follow each position.
Sites, in units of the cell vectors:
Cu: 0.7500 0.6550 0.8764  8 Pd 2.49-2.73, 2 Cu 2.63
Cu: 0.2500 0.3450 0.1236  8 Pd 2.49-2.73, 2 Cu 2.63
Cu: 0.7500 0.7319 0.4946  7 Pd 2.55-2.64
Cu: 0.2500 0.2681 0.5054  7 Pd 2.55-2.64
Cu: 0.7500 0.1209 0.0453  6 Pd 2.53-2.81, 4 Cu 2.63-2.73
Cu: 0.2500 0.8791 0.9547  6 Pd 2.53-2.81, 4 Cu 2.63-2.73
Sn: 0.7500 0.1915 0.6880  10 Pd 2.67-2.91, 2 Cu 2.94
Sn: 0.2500 0.8085 0.3120  10 Pd 2.67-2.91, 2 Cu 2.94
Pd: 0.7500 0.4911 0.5988  4 Cu 2.55-2.73, 2 Pd 2.80
Pd: 0.2500 0.5089 0.4012  4 Cu 2.55-2.73, 2 Pd 2.80
Pd: 0.7500 0.8668 0.1326  4 Cu 2.53-2.73, 5 Pd 2.75-2.81
Pd: 0.2500 0.1332 0.8674  4 Cu 2.53-2.73, 5 Pd 2.75-2.81
Pd: 0.7500 0.3796 0.9549  4 Cu 2.59-2.71, 1 Sn 2.67, 7 Pd 2.72-2.89
Pd: 0.2500 0.6204 0.0451  4 Cu 2.59-2.71, 1 Sn 2.67, 7 Pd 2.72-2.89
Pd: 0.7500 0.5629 0.2284  3 Cu 2.64, 5 Pd 2.72-2.89, 2 Sn 2.74
Pd: 0.2500 0.4371 0.7716  3 Cu 2.64, 5 Pd 2.72-2.89, 2 Sn 2.74
Pd: 0.7500 0.0529 0.4141  2 Cu 2.60, 3 Sn 2.68-2.75, 3 Pd 2.80-2.87
Pd: 0.2500 0.9471 0.5859  2 Cu 2.60, 3 Sn 2.68-2.75, 3 Pd 2.80-2.87
Pd: 0.7500 0.8789 0.7620  2 Cu 2.49-2.62
Pd: 0.2500 0.1211 0.2380  2 Cu 2.49-2.62


# 3
CuSn5Pd: relaxed, PBE.

- Symmetry: No. 15
- Density of states at the Fermi level: 0.481 states/eV per atom

a = 6.4052 Å, b = 6.4052 Å, c = 10.6764 Å
α = 67.18°, β = 67.18°, γ = 59.04°
Closest atoms and distances in Å follow each position.
Sites, in units of the cell vectors:
Cu: 0.0000 0.0000 0.0000  6 Sn 2.63-2.74
Cu: 0.0000 0.0000 0.5000  6 Sn 2.63-2.74
Sn: 0.8949 0.6120 0.1364  1 Cu 2.63, 1 Pd 2.73
Sn: 0.2466 0.4900 0.5388  1 Cu 2.74, 1 Pd 2.83
Sn: 0.6120 0.8949 0.6364  1 Cu 2.63, 1 Pd 2.73
Sn: 0.0279 0.9721 0.2500  2 Cu 2.67, 1 Pd 2.83
Sn: 0.5100 0.7534 0.9612  1 Cu 2.74, 1 Pd 2.83
Sn: 0.4900 0.2466 0.0388  1 Cu 2.74, 1 Pd 2.83
Sn: 0.9721 0.0279 0.7500  2 Cu 2.67, 1 Pd 2.83
Sn: 0.3880 0.1051 0.3636  1 Cu 2.63, 1 Pd 2.73
Sn: 0.7534 0.5100 0.4612  1 Cu 2.74, 1 Pd 2.83
Sn: 0.1051 0.3880 0.8636  1 Cu 2.63, 1 Pd 2.73
Pd: 0.4767 0.5233 0.2500  5 Sn 2.73-2.83
Pd: 0.5233 0.4767 0.7500  5 Sn 2.73-2.83


# 4
Cu2SnPd8: relaxed, PBE.

- Symmetry: No. 12
- ΔE to the lowest computed polymorph: 1.78 eV/f.u.
- Density of states at the Fermi level: 1.057 states/eV per atom

a = 4.6470 Å, b = 7.2222 Å, c = 6.8391 Å
α = 58.13°, β = 77.30°, γ = 65.39°
Closest atoms and distances in Å follow each position.
Sites, in units of the cell vectors:
Cu: 0.0000 0.3089 0.3821  8 Pd 2.52-2.61
Cu: 0.0000 0.6911 0.6179  8 Pd 2.52-2.61
Sn: 0.5000 0.0000 0.0000  4 Pd 2.61-2.62
Pd: 0.8913 0.0899 0.2349  2 Cu 2.52-2.61, 4 Pd 2.73-2.81
Pd: 0.8913 0.3248 0.7651  2 Cu 2.52-2.61, 4 Pd 2.73-2.81
Pd: 0.3163 0.3944 0.0000  2 Cu 2.60, 1 Sn 2.61, 4 Pd 2.69-2.80
Pd: 0.5000 0.7745 0.4510  2 Cu 2.52, 1 Sn 2.62, 2 Pd 2.81
Pd: 0.5000 0.2255 0.5490  2 Cu 2.52, 1 Sn 2.62, 2 Pd 2.81
Pd: 0.6837 0.6056 0.0000  2 Cu 2.60, 1 Sn 2.61, 4 Pd 2.69-2.80
Pd: 0.1087 0.6752 0.2349  2 Cu 2.52-2.61, 4 Pd 2.73-2.81
Pd: 0.1087 0.9101 0.7651  2 Cu 2.52-2.61, 4 Pd 2.73-2.81


# 5
CuSn2Pd2: relaxed, PBE.

- Symmetry: No. 127
- ΔE to the lowest computed polymorph: 0.00 eV/f.u.
- Density of states at the Fermi level: 0.372 states/eV per atom

a = 7.0419 Å, b = 7.0419 Å, c = 3.7801 Å
α = 90.00°, β = 90.00°, γ = 90.00°
Closest atoms and distances in Å follow each position.
Sites, in units of the cell vectors:
Cu: 0.0000 0.0000 0.0000  4 Pd 2.71
Cu: 0.5000 0.5000 0.0000  4 Pd 2.71
Sn: 0.1626 0.6626 0.5000  6 Pd 2.71-2.87
Sn: 0.6626 0.8374 0.5000  6 Pd 2.71-2.87
Sn: 0.8374 0.3374 0.5000  6 Pd 2.71-2.87
Sn: 0.3374 0.1626 0.5000  6 Pd 2.71-2.87
Pd: 0.3570 0.8570 0.0000  6 Sn 2.71-2.87, 2 Cu 2.71, 1 Pd 2.85
Pd: 0.8570 0.6430 0.0000  6 Sn 2.71-2.87, 2 Cu 2.71, 1 Pd 2.85
Pd: 0.6430 0.1430 0.0000  6 Sn 2.71-2.87, 2 Cu 2.71, 1 Pd 2.85
Pd: 0.1430 0.3570 0.0000  6 Sn 2.71-2.87, 2 Cu 2.71, 1 Pd 2.85


# 6
CuSnPd14: relaxed, PBE.

- Symmetry: No. 38
- Density of states at the Fermi level: 1.813 states/eV per atom

a = 5.5745 Å, b = 5.5745 Å, c = 9.1711 Å
α = 90.00°, β = 90.00°, γ = 119.19°
Closest atoms and distances in Å follow each position.
Sites, in units of the cell vectors:
Cu: 0.0463 0.9537 0.5000  10 Pd 2.75-2.81, 2 Sn 2.82
Sn: 0.5467 0.4533 0.5000  10 Pd 2.76-2.84, 2 Cu 2.82
Pd: 0.2034 0.7966 0.0000  12 Pd 2.78-2.83
Pd: 0.7040 0.2960 0.0000  12 Pd 2.79-2.84
Pd: 0.0488 0.4515 0.5000  2 Cu 2.77-2.81, 2 Sn 2.77-2.80, 8 Pd 2.78-2.82
Pd: 0.2033 0.2948 0.0000  12 Pd 2.78-2.85
Pd: 0.5485 0.9512 0.5000  2 Cu 2.77-2.81, 2 Sn 2.77-2.80, 8 Pd 2.78-2.82
Pd: 0.7052 0.7967 0.0000  12 Pd 2.78-2.85
Pd: 0.3718 0.1244 0.7454  1 Cu 2.75, 1 Sn 2.76, 10 Pd 2.77-2.85
Pd: 0.3718 0.1244 0.2546  1 Cu 2.75, 1 Sn 2.76, 10 Pd 2.77-2.85
Pd: 0.8756 0.6282 0.7454  1 Cu 2.75, 1 Sn 2.76, 10 Pd 2.77-2.85
Pd: 0.8756 0.6282 0.2546  1 Cu 2.75, 1 Sn 2.76, 10 Pd 2.77-2.85
Pd: 0.3741 0.6259 0.7519  11 Pd 2.79-2.82, 1 Sn 2.84
Pd: 0.3741 0.6259 0.2481  11 Pd 2.79-2.82, 1 Sn 2.84
Pd: 0.8754 0.1246 0.7488  11 Pd 2.77-2.83, 1 Cu 2.81
Pd: 0.8754 0.1246 0.2512  11 Pd 2.77-2.83, 1 Cu 2.81


# 7
CuSn4Pd15: relaxed, PBE.

- Symmetry: No. 123
- Density of states at the Fermi level: 0.755 states/eV per atom

a = 4.0362 Å, b = 4.0362 Å, c = 19.8903 Å
α = 90.00°, β = 90.00°, γ = 90.00°
Closest atoms and distances in Å follow each position.
Sites, in units of the cell vectors:
Cu: 0.0000 0.0000 0.0000  12 Pd 2.75-2.85
Sn: 0.0000 0.0000 0.1923  12 Pd 2.81-2.89
Sn: 0.0000 0.0000 0.3976  12 Pd 2.85-2.87
Sn: 0.0000 0.0000 0.6024  12 Pd 2.85-2.87
Sn: 0.0000 0.0000 0.8077  12 Pd 2.81-2.89
Pd: 0.5000 0.5000 0.0000  8 Pd 2.75, 4 Cu 2.85
Pd: 0.5000 0.5000 0.1959  8 Pd 2.84-2.86, 4 Sn 2.85
Pd: 0.5000 0.5000 0.3983  4 Sn 2.85, 8 Pd 2.86
Pd: 0.5000 0.5000 0.6017  4 Sn 2.85, 8 Pd 2.86
Pd: 0.5000 0.5000 0.8041  8 Pd 2.84-2.86, 4 Sn 2.85
Pd: 0.5000 0.0000 0.0938  2 Cu 2.75, 8 Pd 2.75-2.86, 2 Sn 2.81
Pd: 0.5000 0.0000 0.2962  8 Pd 2.84-2.86, 4 Sn 2.85-2.89
Pd: 0.5000 0.0000 0.5000  8 Pd 2.85-2.86, 4 Sn 2.87
Pd: 0.5000 0.0000 0.7038  8 Pd 2.84-2.86, 4 Sn 2.85-2.89
Pd: 0.5000 0.0000 0.9062  8 Pd 2.75-2.86, 2 Cu 2.75, 2 Sn 2.81
Pd: 0.0000 0.5000 0.0938  2 Cu 2.75, 8 Pd 2.75-2.86, 2 Sn 2.81
Pd: 0.0000 0.5000 0.2962  8 Pd 2.84-2.86, 4 Sn 2.85-2.89
Pd: 0.0000 0.5000 0.5000  8 Pd 2.85-2.86, 4 Sn 2.87
Pd: 0.0000 0.5000 0.7038  8 Pd 2.84-2.86, 4 Sn 2.85-2.89
Pd: 0.0000 0.5000 0.9062  8 Pd 2.75-2.86, 2 Cu 2.75, 2 Sn 2.81


# 8
CuSn6Pd12: relaxed, PBE.

- Symmetry: No. 148
- Density of states at the Fermi level: 0.397 states/eV per atom

a = 7.4310 Å, b = 7.4310 Å, c = 7.4310 Å
α = 107.14°, β = 107.14°, γ = 107.14°
Closest atoms and distances in Å follow each position.
Sites, in units of the cell vectors:
Cu: 0.0000 0.0000 0.0000  6 Pd 2.67
Sn: 0.7856 0.9088 0.5408  8 Pd 2.67-2.96
Sn: 0.4592 0.2144 0.0912  8 Pd 2.67-2.96
Sn: 0.0912 0.4592 0.2144  8 Pd 2.67-2.96
Sn: 0.2144 0.0912 0.4592  8 Pd 2.67-2.96
Sn: 0.5408 0.7856 0.9088  8 Pd 2.67-2.96
Sn: 0.9088 0.5408 0.7856  8 Pd 2.67-2.96
Pd: 0.8153 0.5149 0.3954  4 Sn 2.67-2.91, 5 Pd 2.76-2.90
Pd: 0.3954 0.8153 0.5149  4 Sn 2.67-2.91, 5 Pd 2.76-2.90
Pd: 0.5149 0.3954 0.8153  4 Sn 2.67-2.91, 5 Pd 2.76-2.90
Pd: 0.1847 0.4851 0.6046  4 Sn 2.67-2.91, 5 Pd 2.76-2.90
Pd: 0.6046 0.1847 0.4851  4 Sn 2.67-2.91, 5 Pd 2.76-2.90
Pd: 0.4851 0.6046 0.1847  4 Sn 2.67-2.91, 5 Pd 2.76-2.90
Pd: 0.8928 0.7242 0.1556  1 Cu 2.67, 4 Sn 2.74-2.96, 5 Pd 2.76-2.99
Pd: 0.2758 0.8444 0.1072  1 Cu 2.67, 4 Sn 2.74-2.96, 5 Pd 2.76-2.99
Pd: 0.8444 0.1072 0.2758  1 Cu 2.67, 4 Sn 2.74-2.96, 5 Pd 2.76-2.99
Pd: 0.1072 0.2758 0.8444  1 Cu 2.67, 4 Sn 2.74-2.96, 5 Pd 2.76-2.99
Pd: 0.7242 0.1556 0.8928  1 Cu 2.67, 4 Sn 2.74-2.96, 5 Pd 2.76-2.99
Pd: 0.1556 0.8928 0.7242  1 Cu 2.67, 4 Sn 2.74-2.96, 5 Pd 2.76-2.99


Calculated total energy for the records above, in order: -4.36; -4.87; -4.19; -4.95; -4.73; -5.17; -5.30; -5.19 eV/atom
Energy of formation for the records above, in order: -0.15; -0.13; 0.00; -0.06; -0.23; -0.12; -0.40; -0.43 eV per atom